The following is a DFT calculation (PBE) of crystalline ScCoNi4 at its relaxed geometry.

The mass density comes out at 7.28 Mg/m³. The value obtained for the calculated formation energy is -0.1012 eV/atom. The value obtained for the size of the total moment is 0.454 μB per atom.

It has space group Pmma (No. 51), with a = 6.8820 Å, b = 3.6780 Å, c = 6.1054 Å, α = 90.00°, β = 90.00° and γ = 90.00°. The distinct sites, in fractional coordinates, are Sc at (0.2500, 0.0000, 0.1398), Co at (0.2500, 0.0000, 0.7401), Ni at (0.0000, 0.0000, 0.5000), Ni at (0.0469, 0.5000, 0.8042) and Ni at (0.2500, 0.5000, 0.4652).


The following is a DFT calculation (PBE) of crystalline ScCoNi at its relaxed geometry.

The mass density comes out at 6.21 Mg/m³. The value obtained for the calculated formation energy is 0.1990 eV/atom. The value obtained for the size of the total moment is 0.379 μB per atom.

It has space group P3m1 (No. 156), with a = 2.9095 Å, b = 2.9095 Å, c = 5.9314 Å, α = 90.00°, β = 90.00° and γ = 120.00°. The distinct sites, in fractional coordinates, are Sc at (0.0000, 0.0000, 0.0000), Co at (0.6667, 0.3333, 0.3394) and Ni at (0.3333, 0.6667, 0.6520).


The following is a DFT calculation (PBE) of crystalline Sc4CoNi at its relaxed geometry.

The mass density comes out at 3.76 Mg/m³. The value obtained for the calculated formation energy is -0.1280 eV/atom. The value obtained for the size of the total moment is 0.000 μB per atom. As for the energy above the most stable polymorph in this dataset: 151.2 meV per atom.

It has space group I4_1md (No. 109), with a = 8.5532 Å, b = 8.5532 Å, c = 7.1750 Å, α = 90.00°, β = 90.00° and γ = 90.00°. The distinct sites, in fractional coordinates, are Sc at (0.0000, 0.2861, 0.0000), Sc at (0.0000, 0.3024, 0.4970), Co at (0.0000, 0.0000, 0.9875) and Ni at (0.0000, 0.0000, 0.5108).


The following is a DFT calculation (PBE) of crystalline ScCo2Ni at its relaxed geometry.

The mass density comes out at 7.02 Mg/m³. The value obtained for the calculated formation energy is -0.0884 eV/atom. The value obtained for the size of the total moment is 0.708 μB per atom.

It has space group F-43m (No. 216), with a = 5.9393 Å, b = 5.9393 Å, c = 5.9393 Å, α = 90.00°, β = 90.00° and γ = 90.00°. The distinct sites, in fractional coordinates, are Sc at (0.0000, 0.0000, 0.0000), Co at (0.0000, 0.0000, 0.5000), Co at (0.2500, 0.2500, 0.7500) and Ni at (0.2500, 0.2500, 0.2500).


The following is a DFT calculation (PBE) of crystalline Sc3CoNi2 at its relaxed geometry.

The mass density comes out at 5.50 Mg/m³. The value obtained for the calculated formation energy is -0.4571 eV/atom. The value obtained for the size of the total moment is 0.009 μB per atom.

It has space group Cmmm (No. 65), with a = 4.4635 Å, b = 13.3724 Å, c = 6.2996 Å, α = 90.00°, β = 90.00° and γ = 90.00°. The distinct sites, in fractional coordinates, are Sc at (0.0000, 0.0000, 0.2476), Sc at (0.0000, 0.3318, 0.2462), Co at (0.0000, 0.1664, 0.0000), Ni at (0.0000, 0.1659, 0.5000), Ni at (0.0000, 0.5000, 0.0000) and Ni at (0.0000, 0.5000, 0.5000).


The following is a DFT calculation (PBE) of crystalline Sc4CoNi at its relaxed geometry.

The mass density comes out at 4.24 Mg/m³. The value obtained for the calculated formation energy is 0.6665 eV/atom. The value obtained for the size of the total moment is 0.195 μB per atom. As for the energy above the most stable polymorph in this dataset: 945.7 meV per atom.

It has space group F-43m (No. 216), with a = 7.7524 Å, b = 7.7524 Å, c = 7.7524 Å, α = 90.00°, β = 90.00° and γ = 90.00°. The distinct sites, in fractional coordinates, are Sc at (0.1251, 0.1251, 0.1251), Co at (0.2500, 0.2500, 0.7500) and Ni at (0.0000, 0.0000, 0.5000).


The following is a DFT calculation (PBE) of crystalline ScCo2Ni at its relaxed geometry.

The mass density comes out at 6.97 Mg/m³. The value obtained for the calculated formation energy is 0.2963 eV/atom. The value obtained for the size of the total moment is 0.835 μB per atom.

It has space group R-3m (No. 166, hexagonal axes), with a = 2.6927 Å, b = 2.6927 Å, c = 25.2162 Å, α = 90.00°, β = 90.00° and γ = 120.00°. The distinct sites, in fractional coordinates, are Sc at (0.0000, 0.0000, 0.0000), Co at (0.0000, 0.0000, 0.2436) and Ni at (0.0000, 0.0000, 0.5000).


The following is a DFT calculation (PBE) of crystalline ScCo2Ni4 at its relaxed geometry.

The mass density comes out at 7.66 Mg/m³. The value obtained for the calculated formation energy is -0.1870 eV/atom. The value obtained for the size of the total moment is 0.624 μB per atom.

It has space group C2/m (No. 12), with a = 7.6517 Å, b = 6.0686 Å, c = 4.6797 Å, α = 90.00°, β = 127.52° and γ = 90.00°. The distinct sites, in fractional coordinates, are Sc at (0.0000, 0.0000, 0.0000), Co at (0.0000, 0.5000, 0.2499) and Ni at (0.1967, 0.1967, 0.6969).


The following is a DFT calculation (PBE) of crystalline ScCo2Ni at its relaxed geometry.

The mass density comes out at 6.94 Mg/m³. The value obtained for the calculated formation energy is -0.0518 eV/atom. The value obtained for the size of the total moment is 0.682 μB per atom.

It has space group Pm (No. 6), with a = 2.7827 Å, b = 4.0081 Å, c = 4.8546 Å, α = 90.00°, β = 101.85° and γ = 90.00°. The distinct sites, in fractional coordinates, are Sc at (0.0000, 0.0000, 0.0000), Co at (0.4120, 0.0000, 0.4959), Co at (0.7571, 0.5000, 0.3560) and Ni at (0.4203, 0.5000, 0.7922).


The following is a DFT calculation (PBE) of crystalline Sc5Co2Ni at its relaxed geometry.

The mass density comes out at 4.56 Mg/m³. The value obtained for the calculated formation energy is -0.3150 eV/atom. The value obtained for the size of the total moment is 0.000 μB per atom.

It has space group I4/mcm (No. 140), with a = 6.6733 Å, b = 6.6733 Å, c = 13.1311 Å, α = 90.00°, β = 90.00° and γ = 90.00°. The distinct sites, in fractional coordinates, are Sc at (0.0000, 0.0000, 0.0000), Sc at (0.1756, 0.3244, 0.1432), Co at (0.1208, 0.3792, 0.5000) and Ni at (0.0000, 0.0000, 0.2500).


The following is a DFT calculation (PBE) of crystalline ScCoNi at its relaxed geometry.

The mass density comes out at 6.07 Mg/m³. The value obtained for the calculated formation energy is -0.2135 eV/atom. The value obtained for the size of the total moment is 0.003 μB per atom.

It has space group P-6m2 (No. 187), with a = 3.8798 Å, b = 3.8798 Å, c = 3.4127 Å, α = 90.00°, β = 90.00° and γ = 120.00°. The distinct sites, in fractional coordinates, are Sc at (0.0000, 0.0000, 0.0000), Co at (0.3333, 0.6667, 0.5000) and Ni at (0.6667, 0.3333, 0.5000).


The following is a DFT calculation (PBE) of crystalline Sc2CoNi3 at its relaxed geometry.

The mass density comes out at 6.56 Mg/m³. The value obtained for the calculated formation energy is -0.4514 eV/atom. The value obtained for the size of the total moment is 0.064 μB per atom. As for the energy above the most stable polymorph in this dataset: 8.3 meV per atom.

It has space group P6_3/mmc (No. 194), with a = 4.8713 Å, b = 4.8713 Å, c = 8.0080 Å, α = 90.00°, β = 90.00° and γ = 120.00°. The distinct sites, in fractional coordinates, are Sc at (0.3333, 0.6667, 0.0636), Co at (0.0000, 0.0000, 0.0000) and Ni at (0.1671, 0.3341, 0.7500).